(1)
The following is a DFT calculation (GGA-PBEsol) of a relaxed Ta2CdFe crystal.

```
4
Lattice="-0.652 -3.871 0.191 0.384 0.128 3.909 -3.981 2.583 -1.670" Properties=species:S:1:pos:R:3 pbc="T T T"
Cd -0.134 -1.871 2.050
Fe -1.866 0.420 2.145
Ta 0.000 0.000 0.000
Ta -2.384 -1.579 0.286
```

Calculated values
Calculated formation energy (eV per atom): 0.40
N(E_F) (states/eV per cell): 5.417
Density (g/cm³): 13.6
Symmetry: I-4m2 (119)


(2)
The following is a DFT calculation (GGA-PBEsol) of a relaxed Ta2CdFe crystal.

```
4
Lattice="-1.307 -2.148 1.183 2.577 -0.903 -0.513 2.575 2.820 7.969" Properties=species:S:1:pos:R:3 pbc="T T T"
Cd 1.237 1.355 3.829
Fe 1.251 -0.851 2.242
Ta 0.051 0.056 0.159
Ta 2.592 0.618 6.393
```

Calculated values
Calculated formation energy (eV per atom): 0.18
N(E_F) (states/eV per cell): 4.110
Density (g/cm³): 13.4
Symmetry: Cmm2 (35)


(3)
The following is a DFT calculation (GGA-PBEsol) of a relaxed CdFeTc2 crystal.

```
4
Lattice="-0.245 -0.825 2.490 -3.873 -2.777 -1.301 4.436 -2.156 -0.278" Properties=species:S:1:pos:R:3 pbc="T T T"
Cd -0.122 -0.412 1.245
Fe 0.159 -2.879 0.455
Tc -1.936 -1.389 -0.650
Tc 2.218 -1.078 -0.139
```

Calculated values
Calculated formation energy (eV per atom): 0.53
N(E_F) (states/eV per cell): 4.295
Density (g/cm³): 10.5
Symmetry: Cmmm (65)


- Which of these has the highest N(E_F)?
  number 1


- Among the records above, which one has the highest calculated formation energy?
  CdFeTc2


- calculated formation energy of number 3 (CdFeTc2)?
  0.53 eV per atom